DFT (PBE-GGA) results for crystalline NaNbCoSe3 at its relaxed geometry.

Output
- Crystal system: monoclinic
- Formation energy without anion corrections: -0.764 eV per atom

a b c (Å): 7.978 3.604 9.504
angles (deg): 90.00 111.33 90.00
Space group P2_1/m (No. 11)
One atom of each set of equivalent atoms:
Na 0.242 0.250 0.224 x2
Nb 0.208 0.750 0.680 x2
Co 0.416 0.250 0.896 x2
Se 0.059 0.750 0.369 x2
Se 0.260 0.750 0.961 x2
Se 0.426 0.250 0.650 x2



DFT (PBE-GGA) results for crystalline SrMnBr3 at its relaxed geometry.

Output
- Crystal system: cubic
- Formation energy without anion corrections: -0.956 eV per atom
- Energy relative to the lowest polymorph listed for this composition: 0 meV per atom

a b c (Å): 5.272 5.272 5.272
angles (deg): 90.00 90.00 90.00
Space group Pm-3m (No. 221)
One atom of each set of equivalent atoms:
Sr 0.000 0.000 0.000 x1
Mn 0.500 0.500 0.500 x1
Br 0.000 0.500 0.500 x3



DFT (PBE-GGA) results for crystalline AcB4C2 at its relaxed geometry.

Output
- Crystal system: tetragonal
- ΔE_f: 0.170 eV/atom

a b c (Å): 6.149 6.149 4.756
angles (deg): 90.00 90.00 90.00
Space group P4_2/mnm (No. 136)
One atom of each set of equivalent atoms:
Ac 0.000 0.000 0.000 x2
B 0.050 0.378 0.500 x8
C 0.190 0.190 0.500 x4



DFT (PBE-GGA) results for crystalline NbRe2Sb2 at its relaxed geometry.

Output
- Crystal system: tetragonal
- Formation energy without anion corrections: 0.833 eV per atom
- Energy relative to the lowest polymorph listed for this composition: 271 meV per atom

a b c (Å): 4.771 4.771 9.315
angles (deg): 90.00 90.00 90.00
Space group I4/mmm (No. 139)
One atom of each set of equivalent atoms:
Nb 0.000 0.000 0.000 x2
Re 0.000 0.000 0.377 x4
Sb 0.000 0.500 0.250 x4



DFT (PBE-GGA) results for crystalline DyPuPd at its relaxed geometry.

Output
- Crystal system: triclinic
- ΔE_f: -0.324 eV/atom
- Energy relative to the lowest polymorph listed for this composition: 19 meV per atom

a b c (Å): 3.494 4.753 8.138
angles (deg): 84.16 77.66 89.84
Space group P-1 (No. 2)
One atom of each set of equivalent atoms:
Dy 0.082 0.280 0.335 x2
Pu 0.240 0.837 0.021 x2
Pd 0.427 0.224 0.645 x2



DFT (PBE-GGA) results for crystalline La11Ho9Th4 at its relaxed geometry.

Output
- Crystal system: orthorhombic
- ΔE_f: 0.105 eV/atom

a b c (Å): 17.228 26.018 3.718
angles (deg): 90.00 90.00 90.00
Space group Cmmm (No. 65)
One atom of each set of equivalent atoms:
La 0.000 0.000 0.000 x2
La 0.000 0.158 0.000 x4
La 0.000 0.369 0.000 x4
La 0.205 0.500 0.000 x4
La 0.228 0.181 0.000 x8
Ho 0.000 0.500 0.500 x2
Ho 0.101 0.265 0.500 x8
Ho 0.140 0.073 0.500 x8
Th 0.157 0.398 0.500 x8



DFT (PBE-GGA) results for crystalline CeSc5Cu4 at its relaxed geometry.

Output
- Crystal system: tetragonal
- ΔE_f: -0.208 eV/atom

a b c (Å): 3.226 3.226 18.336
angles (deg): 90.00 90.00 90.00
Space group P4/mmm (No. 123)
One atom of each set of equivalent atoms:
Ce 0.000 0.000 0.000 x1
Sc 0.500 0.500 0.139 x2
Sc 0.500 0.500 0.319 x2
Sc 0.500 0.500 0.500 x1
Cu 0.000 0.000 0.228 x2
Cu 0.000 0.000 0.410 x2



DFT (PBE-GGA) results for crystalline BaHf2C at its relaxed geometry.

Output
- Crystal system: cubic
- ΔE_f: 0.284 eV/atom

a b c (Å): 9.783 9.783 9.783
angles (deg): 90.00 90.00 90.00
Space group Fd-3m (No. 227, origin choice 2)
One atom of each set of equivalent atoms:
Ba 0.125 0.125 0.125 x8
Hf 0.000 0.000 0.500 x16
C 0.125 0.125 0.625 x8



DFT (PBE-GGA) results for crystalline Cu2TcNi4 at its relaxed geometry.

Output
- Crystal system: orthorhombic
- ΔE_f: 0.050 eV/atom

a b c (Å): 3.810 17.274 2.502
angles (deg): 90.00 90.00 90.00
Space group Cmmm (No. 65)
One atom of each set of equivalent atoms:
Cu 0.000 0.210 0.000 x4
Tc 0.000 0.500 0.500 x2
Ni 0.000 0.071 0.000 x4
Ni 0.000 0.354 0.500 x4



DFT (PBE-GGA) results for crystalline Rb2ZnInBr6 at its relaxed geometry.

Output
- Crystal system: tetragonal
- Formation energy without anion corrections: -1.145 eV per atom

a b c (Å): 7.778 7.778 11.051
angles (deg): 90.00 90.00 90.00
Space group I4/mmm (No. 139)
One atom of each set of equivalent atoms:
Rb 0.000 0.500 0.250 x4
Zn 0.000 0.000 0.000 x2
In 0.000 0.000 0.500 x2
Br 0.000 0.000 0.242 x4
Br 0.242 0.242 0.000 x8



DFT (PBE-GGA) results for crystalline Tl4SnHg4 at its relaxed geometry.

Output
- Crystal system: tetragonal
- ΔE_f: 0.095 eV/atom
- Energy relative to the lowest polymorph listed for this composition: 67 meV per atom

a b c (Å): 6.208 6.208 14.659
angles (deg): 90.00 90.00 90.00
Space group I-42m (No. 121)
One atom of each set of equivalent atoms:
Tl 0.000 0.000 0.111 x4
Tl 0.000 0.500 0.000 x4
Sn 0.000 0.000 0.500 x2
Hg 0.180 0.180 0.700 x8



DFT (PBE-GGA) results for crystalline TbThMgPb at its relaxed geometry.

Output
- Crystal system: cubic
- ΔE_f: -0.134 eV/atom

a b c (Å): 7.724 7.724 7.724
angles (deg): 90.00 90.00 90.00
Space group F-43m (No. 216)
One atom of each set of equivalent atoms:
Tb 0.000 0.000 0.000 x4
Th 0.000 0.000 0.500 x4
Mg 0.250 0.250 0.250 x4
Pb 0.250 0.250 0.750 x4